CoCu2W PBE-GGA relaxed; total magnetization = 0.00 μB/f.u.; space group = No. 123; E_form = 0.398 eV per atom
1.0
4.1871 0.0000 0.0000
0.0000 3.4884 0.0000
0.0000 0.0000 3.4884
Cu W Co
2 1 1
direct
0.0000 0.5000 0.5000
0.0000 0.0000 0.0000
0.5000 0.5000 0.0000
0.5000 0.0000 0.5000

GdThIr2 PBE-GGA relaxed; total magnetization = 7.05 μB/f.u.; space group = No. 123; E_form = -0.766 eV per atom
1.0
3.5376 0.0000 0.0000
0.0000 4.9759 0.0000
0.0000 0.0000 4.9759
Gd Th Ir
1 1 2
direct
0.5000 0.5000 0.5000
0.5000 0.0000 0.0000
0.0000 0.0000 0.5000
0.0000 0.5000 0.0000

Na2LaYCo PBE-GGA relaxed; total magnetization = 1.19 μB/f.u.; space group = No. 123; E_form = 0.844 eV per atom
1.0
5.7836 0.0000 0.0000
0.0000 4.7117 0.0000
0.0000 0.0000 5.7836
Na La Co Y
2 1 1 1
direct
0.5000 0.0000 0.0000
0.0000 0.0000 0.5000
0.5000 0.5000 0.5000
0.0000 0.5000 0.0000
0.0000 0.0000 0.0000